Computed, not measured: crystalline Pm3Si2Cl at its relaxed geometry at the PBE level of DFT.

For the energy, the calculation gives -5.30 eV per atom.

a = 9.0055 Å, b = 9.0055 Å, c = 9.0055 Å
α = 156.53°, β = 146.37°, γ = 41.42°
Closest atoms and distances in Å follow each position.
Atoms (fractional coordinates):
Pm1 0.0000 0.0000 0.0000  2 Cl 2.61
Pm2 0.3263 0.8263 0.5000  1 Cl 2.93, 5 Si 2.98-3.21
Pm3 0.6737 0.1737 0.5000  1 Cl 2.93, 5 Si 2.98-3.21
Si1 0.1494 0.6494 0.5000  7 Pm 2.98-3.21
Si2 0.8506 0.3506 0.5000  7 Pm 2.98-3.21
Cl1 0.5000 0.0000 0.5000  2 Pm 2.61